No. 1
First-principles (SCAN) data for GaPtO2F at its PBEsol-relaxed geometry, as listed in the Alexandria database.

Cell: 3.6954 3.6954 5.9643 Å, 90.00 90.00 90.00°
Sites, in units of the cell vectors:
Ga  0.5000  0.5000  0.5000
Pt  0.0000  0.0000  0.0000
O  0.0000  0.5000  0.0000
F  0.0000  0.0000  0.5000
O  0.5000  0.0000  0.0000

No. 2
First-principles (SCAN) data for LiSbCl2 at its PBEsol-relaxed geometry, as listed in the Alexandria database.

Cell: 3.2784 5.1085 5.1085 Å, 90.00 90.00 90.00°
Sites, in units of the cell vectors:
Cl  0.0000  0.0000  0.5000
Sb  0.5000  0.5000  0.5000
Li  0.5000  0.0000  0.0000
Cl  0.0000  0.5000  0.0000

The excess energy over the best structure of this formula in the dataset is 598 meV/atom.

No. 3
First-principles (SCAN) data for YCuRh2 at its PBEsol-relaxed geometry, as listed in the Alexandria database.

Cell: 2.9582 4.1807 5.3095 Å, 90.00 103.63 90.00°
Sites, in units of the cell vectors:
Rh  0.8356  0.0000  0.7182
Y  0.5000  0.5000  0.0000
Cu  0.0000  0.5000  0.5000
Rh  0.1644  0.0000  0.2818

The formation energy is -0.27 eV/atom.

No. 4
First-principles (SCAN) data for K2ZnW at its PBEsol-relaxed geometry, as listed in the Alexandria database.

Cell: 2.7577 4.4823 10.3836 Å, 102.46 97.63 90.00°
Last column: magnetic moment on the atom in μB.
Sites, in units of the cell vectors:
K  0.1448  0.1448  0.2895  0.01
K  0.8552  0.8552  0.7105  0.01
W  0.0000  0.5000  0.0000  1.07
Zn  0.5000  0.0000  0.0000  0.04

The formation energy is 0.98 eV/atom.

No. 5
First-principles (SCAN) data for Li2Ca at its PBEsol-relaxed geometry, as listed in the Alexandria database.

Cell: 6.1273 6.1273 6.1273 Å, 60.00 60.00 60.00°
Sites, in units of the cell vectors:
Li  0.6250  0.6250  0.1250
Ca  0.0000  0.0000  0.0000
Li  0.1250  0.6250  0.6250
Li  0.6250  0.6250  0.6250
Ca  0.2500  0.2500  0.2500
Li  0.6250  0.1250  0.6250

The excess energy over the best structure of this formula in the dataset is 0 meV/atom. The formation energy is -0.02 eV/atom.

No. 6
First-principles (SCAN) data for LaTaTlRe2 at its PBEsol-relaxed geometry, as listed in the Alexandria database.

Cell: 4.8251 4.8251 4.9795 Å, 90.00 90.00 90.00°
Last column: magnetic moment on the atom in μB.
Sites, in units of the cell vectors:
La  0.0000  0.0000  0.0000  0.04
Ta  0.0000  0.0000  0.5000  -0.02
Tl  0.5000  0.5000  0.5000  0.04
Re  0.0000  0.5000  0.0000  0.72
Re  0.5000  0.0000  0.0000  0.72

The formation energy is 2.80 eV/atom.

No. 7
First-principles (SCAN) data for HRhSN2 at its PBEsol-relaxed geometry, as listed in the Alexandria database.

Cell: 3.6436 3.6436 5.0955 Å, 90.00 90.00 90.00°
Last column: magnetic moment on the atom in μB.
Sites, in units of the cell vectors:
N  0.0000  0.5000  0.0000  -0.02
H  0.5000  0.5000  0.5000  0.06
S  0.0000  0.0000  0.5000  -0.22
Rh  0.0000  0.0000  0.0000  -0.01
N  0.5000  0.0000  0.0000  -0.02

No. 8
First-principles (SCAN) data for BaSr2Sb at its PBEsol-relaxed geometry, as listed in the Alexandria database.

Cell: 4.4636 4.4640 8.2718 Å, 90.10 90.00 90.00°
Last column: magnetic moment on the atom in μB.
Sites, in units of the cell vectors:
Sr  0.0000  0.9989  0.9494  0.02
Ba  0.0000  0.0012  0.5519  0.04
Sr  0.5000  0.4997  0.2241  0.06
Sb  0.5000  0.5001  0.7747  -0.01

No. 9
First-principles (SCAN) data for YU2S3O2 at its PBEsol-relaxed geometry, as listed in the Alexandria database.

Cell: 3.7489 3.7489 10.7059 Å, 100.08 100.08 90.00°
Last column: magnetic moment on the atom in μB.
Sites, in units of the cell vectors:
S  0.8701  0.8701  0.7402  -0.06
O  0.7500  0.2500  0.5000  -0.09
O  0.2500  0.7500  0.5000  -0.09
S  0.5000  0.5000  0.0000  -0.01
U  0.3141  0.3141  0.6282  2.34
Y  0.0000  0.0000  0.0000  0.02
U  0.6859  0.6859  0.3718  2.34
S  0.1299  0.1299  0.2598  -0.06

No. 10
First-principles (SCAN) data for BeCu2 at its PBEsol-relaxed geometry, as listed in the Alexandria database.

Cell: 2.4916 2.4916 5.9041 Å, 77.82 77.82 60.00°
Sites, in units of the cell vectors:
Be  0.0000  0.0000  0.0000
Cu  0.2277  0.2277  0.3170
Cu  0.4391  0.4391  0.6828

The formation energy is -0.05 eV/atom.

Number 1: energy -21.04 eV per atom. Number 2: energy -14.50 eV per atom. Number 3: energy -27.91 eV per atom. Number 4: energy -23.99 eV per atom. Number 5: energy -4.83 eV per atom. Number 6: energy -62.05 eV per atom. Number 7: energy -11.54 eV per atom. Number 8: energy -30.90 eV per atom. Number 9: energy -37.01 eV per atom. Number 10: energy -11.64 eV per atom.